[1]
A geometry-optimized CdRh3C structure. Source: Alexandria via LeMat-Bulk, functional GGA-PBE.

POSCAR file:
```
CdRh3C
1.0
-4.121 2.468 3.182
-3.929 -3.244 -2.543
0.587 -0.081 5.972
C Rh Cd
2 6 2
direct
0.406 0.029 0.857
0.009 0.906 0.648
0.213 0.203 0.740
0.231 0.693 0.209
0.184 0.241 0.295
0.715 0.203 0.740
0.202 0.731 0.764
0.700 0.732 0.765
0.732 0.694 0.208
0.683 0.241 0.297
```

Summary:
Density of states at the Fermi level   9.54 states/eV/cell
Calculated total energy   -6.35 eV/atom
Energy of formation from the pure elements   8.32 kJ per mole of atoms

[2]
A geometry-optimized CdRh3C structure. Source: Alexandria via LeMat-Bulk, functional GGA-PBE.

POSCAR file:
```
CdRh3C
1.0
-4.255 -0.400 1.208
3.048 -2.778 1.650
1.286 5.105 6.220
Cd Rh C
2 6 2
direct
0.667 0.333 0.250
0.333 0.667 0.750
0.667 0.333 0.923
0.333 0.667 0.077
0.000 0.000 0.750
0.667 0.333 0.577
0.000 0.000 0.250
0.333 0.667 0.423
0.000 0.000 0.500
0.000 0.000 0.000
```

Summary:
Density of states at the Fermi level   12.41 states/eV/cell
Calculated total energy   -5.84 eV/atom
Energy of formation from the pure elements   57.95 kJ per mole of atoms

[3]
A geometry-optimized CdRh3C structure. Source: Alexandria via LeMat-Bulk, functional GGA-PBE.

POSCAR file:
```
CdRh3C
1.0
-18.408 -3.866 1.611
-8.866 -0.152 -1.434
8.594 -0.236 -2.602
Rh Cd C
6 2 2
direct
0.807 0.136 0.864
0.193 0.864 0.136
0.564 0.621 0.379
0.945 0.360 0.640
0.055 0.640 0.360
0.436 0.379 0.621
0.317 0.116 0.884
0.683 0.884 0.116
0.079 0.092 0.908
0.921 0.908 0.092
```

Summary:
Density of states at the Fermi level   6.11 states/eV/cell
Calculated total energy   -6.37 eV/atom
Energy of formation from the pure elements   7.05 kJ per mole of atoms

[4]
A geometry-optimized CdRh3C structure. Source: Alexandria via LeMat-Bulk, functional GGA-PBE.

POSCAR file:
```
CdRh3C
1.0
-2.695 1.043 -2.769
-3.912 -2.807 2.750
-2.959 6.498 2.423
Rh Cd C
6 2 2
direct
0.308 0.512 0.884
0.692 0.488 0.116
0.692 0.012 0.116
0.116 0.750 0.267
0.884 0.250 0.733
0.308 0.988 0.884
0.927 0.750 0.647
0.073 0.250 0.353
0.601 0.750 0.297
0.399 0.250 0.703
```

Summary:
Density of states at the Fermi level   7.72 states/eV/cell
Calculated total energy   -6.14 eV/atom
Energy of formation from the pure elements   29.13 kJ per mole of atoms